# TlGaPt3

An optimized crystal structure of TlGaPt3 (PBE-GGA, Alexandria via LeMat-Bulk).

Unit cell a=5.096 b=5.096 c=5.096 alpha=90.00 beta=90.00 gamma=90.00
Positions (direct):
Tl 0.000 0.000 0.000
Ga 0.500 0.500 0.500
Pt 0.000 0.000 0.500
Pt 0.000 0.500 0.000
Pt 0.500 0.000 0.000

## Properties
Theoretical density (g/cm³): 10.8
Total magnetization (μB per atom): 0.000
Energy relative to the elements (meV/atom): 1202
E (eV/atom): -3.501
SG: No. 221
Energy relative to the lowest polymorph listed for this composition (meV/atom): 822.6

# TlZnGa2Pt

An optimized crystal structure of TlZnGa2Pt (PBE-GGA, Alexandria via LeMat-Bulk).

Unit cell a=4.846 b=4.846 c=4.977 alpha=90.00 beta=90.00 gamma=90.00
Positions (direct):
Tl 0.000 0.000 0.000
Zn 0.500 0.500 0.000
Ga 0.000 0.500 0.500
Ga 0.500 0.000 0.500
Pt 0.500 0.500 0.500

## Properties
Theoretical density (g/cm³): 8.6
Total magnetization (μB per atom): 0.000
Energy relative to the elements (meV/atom): -194
E (eV/atom): -3.341
SG: No. 123

# TmGa12Pt4

An optimized crystal structure of TmGa12Pt4 (PBE-GGA, Alexandria via LeMat-Bulk).

Unit cell a=7.636 b=7.636 c=7.636 alpha=109.47 beta=109.47 gamma=109.47
Positions (direct):
Tm 0.000 0.000 0.000
Ga 0.151 0.344 0.495
Ga 0.151 0.656 0.806
Ga 0.194 0.849 0.344
Ga 0.344 0.194 0.849
Ga 0.344 0.495 0.151
Ga 0.495 0.151 0.344
Ga 0.505 0.849 0.656
Ga 0.656 0.505 0.849
Ga 0.656 0.806 0.151
Ga 0.806 0.151 0.656
Ga 0.849 0.344 0.194
Ga 0.849 0.656 0.505
Pt 0.000 0.000 0.500
Pt 0.000 0.500 0.000
Pt 0.500 0.000 0.000
Pt 0.500 0.500 0.500

## Properties
Theoretical density (g/cm³): 8.7
Total magnetization (μB per atom): 0.000
Energy relative to the elements (meV/atom): -319
E (eV/atom): -4.140
SG: No. 204

# Tm3Ga8Pt3

An optimized crystal structure of Tm3Ga8Pt3 (PBE-GGA, Alexandria via LeMat-Bulk).

Unit cell a=8.057 b=8.057 c=9.457 alpha=124.96 beta=124.96 gamma=30.89
Positions (direct):
Tm 0.000 0.000 0.000
Tm 0.291 0.291 0.287
Tm 0.709 0.709 0.713
Ga 0.144 0.144 0.432
Ga 0.149 0.149 0.865
Ga 0.345 0.345 0.717
Ga 0.500 0.500 0.327
Ga 0.500 0.500 0.673
Ga 0.655 0.655 0.283
Ga 0.851 0.851 0.135
Ga 0.856 0.856 0.568
Pt 0.000 0.000 0.500
Pt 0.355 0.355 0.992
Pt 0.645 0.645 0.008

## Properties
Theoretical density (g/cm³): 10.8
Total magnetization (μB per atom): 0.000
Energy relative to the elements (meV/atom): -775
E (eV/atom): -4.757
SG: No. 12